GaSbW2F after structural relaxation, computed with GGA+U.

a = 4.768 Å, b = 4.903 Å, c = 4.768 Å
α = 90.00°, β = 90.00°, γ = 90.00°
Each line ends with the local moment (μB).
Fractional positions:
Sb  0.500  0.500  0.500  -0.06
F  0.000  0.000  0.000  0.04
Ga  0.000  0.500  0.000  0.02
W  0.500  0.000  0.000  3.29
W  0.000  0.000  0.500  3.28

uncorrected energy = -4.0320 eV per atom
calculated volume = 22.3 Å³/atom